! Na3Nd5Cl18 (PBEsol, optimized geometry); values from VASP
&SYSTEM
  ibrav = 0, nat = 26, ntyp = 3
/
ATOMIC_SPECIES
Na 22.99 Na.upf
Nd 144.24 Nd.upf
Cl 35.45 Cl.upf
CELL_PARAMETERS angstrom
7.494 0.000 0.000
-3.747 6.490 0.000
0.000 0.000 12.520
ATOMIC_POSITIONS crystal
Na 0.000 0.000 0.000
Na 0.333 0.667 0.226
Na 0.333 0.667 0.774
Nd 0.000 0.000 0.332
Nd 0.000 0.000 0.668
Nd 0.667 0.333 0.160
Nd 0.667 0.333 0.500
Nd 0.667 0.333 0.840
Cl 0.024 0.278 0.174
Cl 0.024 0.278 0.826
Cl 0.026 0.274 0.500
Cl 0.248 0.974 0.500
Cl 0.253 0.976 0.174
Cl 0.253 0.976 0.826
Cl 0.420 0.366 0.336
Cl 0.420 0.366 0.664
Cl 0.430 0.376 0.000
Cl 0.624 0.054 0.000
Cl 0.634 0.054 0.336
Cl 0.634 0.054 0.664
Cl 0.722 0.747 0.174
Cl 0.722 0.747 0.826
Cl 0.726 0.752 0.500
Cl 0.946 0.570 0.000
Cl 0.946 0.580 0.336
Cl 0.946 0.580 0.664
! formation energy (no corrections): -2195 meV per atom
! total moment: 0.001 μB/f.u.
! D(E_F): 0.00 states/eV per atom



! Cr2NiMo (PBEsol, optimized geometry); values from VASP
&SYSTEM
  ibrav = 0, nat = 4, ntyp = 3
/
ATOMIC_SPECIES
Cr 52.00 Cr.upf
Ni 58.69 Ni.upf
Mo 95.94 Mo.upf
CELL_PARAMETERS angstrom
2.476 0.000 0.000
0.000 2.476 0.000
0.000 0.000 7.916
ATOMIC_POSITIONS crystal
Cr 0.000 0.000 0.224
Cr 0.000 0.000 0.776
Ni 0.500 0.500 0.000
Mo 0.500 0.500 0.500
! DFT formation energy: 0.201 eV/atom
! total moment: 0.000 μB/f.u.
! D(E_F): 0.99 states/eV per atom



! RhCl3 (PBEsol, optimized geometry); values from VASP
&SYSTEM
  ibrav = 0, nat = 4, ntyp = 2
/
ATOMIC_SPECIES
Rh 102.91 Rh.upf
Cl 35.45 Cl.upf
CELL_PARAMETERS angstrom
4.164 0.000 0.000
0.000 4.164 0.000
0.000 0.000 4.164
ATOMIC_POSITIONS crystal
Rh 0.000 0.000 0.000
Cl 0.000 0.500 0.500
Cl 0.500 0.000 0.500
Cl 0.500 0.500 0.000
! formation energy (no corrections): 838 meV per atom
! total moment: 3.431 μB/f.u.
! D(E_F): 1.90 states/eV per atom



! LiCoCu2Se (PBEsol, optimized geometry); values from VASP
&SYSTEM
  ibrav = 0, nat = 5, ntyp = 4
/
ATOMIC_SPECIES
Li 6.94 Li.upf
Co 58.93 Co.upf
Cu 63.55 Cu.upf
Se 78.96 Se.upf
CELL_PARAMETERS angstrom
4.482 0.000 0.000
0.000 4.482 0.000
0.000 0.000 4.248
ATOMIC_POSITIONS crystal
Li 0.000 0.000 0.000
Co 0.500 0.500 0.000
Cu 0.000 0.500 0.500
Cu 0.500 0.000 0.500
Se 0.500 0.500 0.500
! formation energy (no corrections): 447 meV per atom
! total moment: 0.264 μB/f.u.
! D(E_F): 0.48 states/eV per atom



! Ta2TlAg (PBEsol, optimized geometry); values from VASP
&SYSTEM
  ibrav = 0, nat = 4, ntyp = 3
/
ATOMIC_SPECIES
Ta 180.95 Ta.upf
Tl 204.38 Tl.upf
Ag 107.87 Ag.upf
CELL_PARAMETERS angstrom
5.055 -1.504 0.000
5.055 1.504 0.000
-0.961 0.000 4.859
ATOMIC_POSITIONS crystal
Ta 0.249 0.249 0.239
Ta 0.751 0.751 0.761
Tl 0.000 0.000 0.500
Ag 0.500 0.500 0.000
! DFT formation energy: 0.410 eV/atom
! total moment: 0.000 μB/f.u.
! D(E_F): 0.83 states/eV per atom



! BaNaAs (PBEsol, optimized geometry); values from VASP
&SYSTEM
  ibrav = 0, nat = 12, ntyp = 3
/
ATOMIC_SPECIES
Ba 137.33 Ba.upf
Na 22.99 Na.upf
As 74.92 As.upf
CELL_PARAMETERS angstrom
8.109 0.000 0.000
0.000 4.766 0.000
0.000 0.000 9.205
ATOMIC_POSITIONS crystal
Ba 0.034 0.250 0.185
Ba 0.466 0.750 0.685
Ba 0.534 0.250 0.315
Ba 0.966 0.750 0.815
Na 0.137 0.250 0.562
Na 0.363 0.750 0.062
Na 0.637 0.250 0.938
Na 0.863 0.750 0.438
As 0.242 0.750 0.384
As 0.258 0.250 0.884
As 0.742 0.750 0.116
As 0.758 0.250 0.616
! DFT formation energy: -0.849 eV/atom
! total moment: 0.000 μB/f.u.



! MnSi2Au (PBEsol, optimized geometry); values from VASP
&SYSTEM
  ibrav = 0, nat = 4, ntyp = 3
/
ATOMIC_SPECIES
Mn 54.94 Mn.upf
Si 28.09 Si.upf
Au 196.97 Au.upf
CELL_PARAMETERS angstrom
3.192 0.000 0.000
0.000 3.192 0.000
0.000 0.000 5.238
ATOMIC_POSITIONS crystal
Mn 0.000 0.000 0.000
Si 0.000 0.000 0.433
Si 0.500 0.500 0.151
Au 0.500 0.500 0.655
! formation energy (no corrections): -89 meV per atom
! total moment: 0.086 μB/f.u.
! D(E_F): 0.41 states/eV per atom



! Y2RhBr (PBEsol, optimized geometry); values from VASP
&SYSTEM
  ibrav = 0, nat = 4, ntyp = 3
/
ATOMIC_SPECIES
Y 88.91 Y.upf
Rh 102.91 Rh.upf
Br 79.90 Br.upf
CELL_PARAMETERS angstrom
1.963 1.133 7.486
-1.963 1.133 7.486
0.000 -2.266 7.486
ATOMIC_POSITIONS crystal
Y 0.232 0.232 0.232
Y 0.768 0.768 0.768
Rh 0.500 0.500 0.500
Br 0.000 0.000 0.000
! formation energy (no corrections): -1054 meV per atom
! total moment: 0.000 μB/f.u.
! D(E_F): 0.18 states/eV per atom



Respective uncorrected energy values: -4.740; -9.402; -2.702; -3.997; -7.350; -3.734; -6.384; -6.967 eV/atom.